Record 1
A plane-wave DFT calculation with PBE-GGA was carried out for a relaxed structure of CsHo2S3.

The structure in POSCAR format:
```
CsHo2S3
1.0
8.448 0.000 0.000
0.000 3.920 0.000
-2.082 0.000 10.219
Cs Ho S
2 4 6
Direct
0.026 0.250 0.327 Cs
0.974 0.750 0.673 Cs
0.325 0.250 0.015 Ho
0.484 0.250 0.669 Ho
0.516 0.750 0.331 Ho
0.675 0.750 0.985 Ho
0.220 0.750 0.150 S
0.324 0.750 0.513 S
0.381 0.750 0.838 S
0.619 0.250 0.162 S
0.676 0.250 0.487 S
0.780 0.250 0.850 S
```

## Properties
Uncorrected formation energy, eV/atom: -1.724
Space group: No. 11


Record 2
A plane-wave DFT calculation with PBE-GGA was carried out for a relaxed structure of CsHoS4.

The structure in POSCAR format:
```
CsHoS4
1.0
5.967 0.000 0.000
0.000 5.967 0.000
0.000 0.000 8.676
Cs Ho S
2 2 8
Direct
0.250 0.250 0.000 Cs
0.750 0.750 0.000 Cs
0.250 0.250 0.500 Ho
0.750 0.750 0.500 Ho
0.125 0.625 0.315 S
0.125 0.875 0.685 S
0.375 0.625 0.685 S
0.375 0.875 0.315 S
0.625 0.125 0.685 S
0.625 0.375 0.315 S
0.875 0.125 0.315 S
0.875 0.375 0.685 S
```

## Properties
Uncorrected formation energy, eV/atom: -1.209
Space group: No. 125


Record 3
A plane-wave DFT calculation with PBE-GGA was carried out for a relaxed structure of Cs2Ho2SbS6.

The structure in POSCAR format:
```
Cs2Ho2SbS6
1.0
3.458 -5.972 0.000
3.458 5.972 0.000
-2.354 0.000 8.271
Cs Ho Sb S
2 2 1 6
Direct
0.168 0.832 0.000 Cs
0.832 0.168 0.000 Cs
0.333 0.667 0.500 Ho
0.667 0.333 0.500 Ho
0.000 0.000 0.500 Sb
0.060 0.385 0.677 S
0.264 0.264 0.324 S
0.385 0.060 0.677 S
0.615 0.940 0.323 S
0.736 0.736 0.676 S
0.940 0.615 0.323 S
```

## Properties
Uncorrected formation energy, eV/atom: -1.384
Space group: No. 12


Record 4
A plane-wave DFT calculation with PBE-GGA was carried out for a relaxed structure of Cs2HoSbS4.

The structure in POSCAR format:
```
Cs2HoSbS4
1.0
0.000 7.571 12.513
3.484 0.000 12.513
3.484 7.571 0.000
Cs Ho Sb S
4 2 2 8
Direct
0.056 0.056 0.694 Cs
0.306 0.306 0.944 Cs
0.694 0.694 0.056 Cs
0.944 0.944 0.306 Cs
0.125 0.125 0.125 Ho
0.875 0.875 0.875 Ho
0.375 0.375 0.375 Sb
0.625 0.625 0.625 Sb
0.032 0.322 0.409 S
0.263 0.591 0.678 S
0.322 0.032 0.737 S
0.409 0.737 0.032 S
0.591 0.263 0.968 S
0.678 0.968 0.263 S
0.737 0.409 0.322 S
0.968 0.678 0.591 S
```

## Properties
Uncorrected formation energy, eV/atom: -1.083
Space group: No. 70


Record 5
A plane-wave DFT calculation with PBE-GGA was carried out for a relaxed structure of CsHoScS3.

The structure in POSCAR format:
```
CsHoScS3
1.0
9.267 0.000 0.000
0.000 4.242 0.000
-3.758 0.000 9.516
Cs Ho Sc S
2 2 2 6
Direct
0.223 0.250 0.233 Cs
0.777 0.750 0.767 Cs
0.337 0.750 0.869 Ho
0.663 0.250 0.131 Ho
0.088 0.250 0.612 Sc
0.912 0.750 0.388 Sc
0.133 0.250 0.863 S
0.195 0.750 0.562 S
0.479 0.750 0.148 S
0.521 0.250 0.852 S
0.805 0.250 0.438 S
0.867 0.750 0.137 S
```

## Properties
Uncorrected formation energy, eV/atom: -1.712
Space group: No. 11


Record 6
A plane-wave DFT calculation with PBE-GGA was carried out for a relaxed structure of Cs3Ho2ScS6.

The structure in POSCAR format:
```
Cs3Ho2ScS6
1.0
3.487 -6.039 0.000
3.487 6.039 0.000
-2.326 0.000 8.030
Cs Ho Sc S
3 2 1 6
Direct
0.000 0.000 0.000 Cs
0.332 0.668 0.000 Cs
0.668 0.332 0.000 Cs
0.167 0.833 0.500 Ho
0.833 0.167 0.500 Ho
0.500 0.500 0.500 Sc
0.118 0.441 0.322 S
0.237 0.237 0.679 S
0.441 0.118 0.322 S
0.559 0.882 0.678 S
0.763 0.763 0.321 S
0.882 0.559 0.678 S
```

## Properties
Uncorrected formation energy, eV/atom: -1.776
Space group: No. 12


Record 7
A plane-wave DFT calculation with PBE-GGA was carried out for a relaxed structure of Cs3Ho3ScS8.

The structure in POSCAR format:
```
Cs3Ho3ScS8
1.0
3.984 2.300 8.200
-3.984 2.300 8.200
0.000 -4.600 8.200
Cs Ho Sc S
3 3 1 8
Direct
0.000 0.500 0.500 Cs
0.500 0.000 0.500 Cs
0.500 0.500 0.000 Cs
0.000 0.000 0.500 Ho
0.000 0.500 0.000 Ho
0.500 0.000 0.000 Ho
0.500 0.500 0.500 Sc
0.227 0.227 0.227 S
0.236 0.719 0.719 S
0.281 0.281 0.764 S
0.281 0.764 0.281 S
0.719 0.236 0.719 S
0.719 0.719 0.236 S
0.764 0.281 0.281 S
0.773 0.773 0.773 S
```

## Properties
Uncorrected formation energy, eV/atom: -1.737
Space group: No. 166


Record 8
A plane-wave DFT calculation with PBE-GGA was carried out for a relaxed structure of CsHoSeS.

The structure in POSCAR format:
```
CsHoSeS
1.0
2.077 1.199 8.304
-2.077 1.199 8.304
0.000 -2.398 8.304
Cs Ho Se S
1 1 1 1
Direct
0.000 0.000 0.000 Cs
0.164 0.164 0.164 Ho
0.562 0.562 0.562 Se
0.774 0.774 0.774 S
```

## Properties
Uncorrected formation energy, eV/atom: -1.755
Space group: No. 160


Record 9
A plane-wave DFT calculation with PBE-GGA was carried out for a relaxed structure of Cs2HoSi2S6.

The structure in POSCAR format:
```
Cs2HoSi2S6
1.0
6.278 -3.623 0.000
6.278 3.623 0.000
-4.200 0.000 6.786
Cs Ho Si S
2 1 2 6
Direct
0.227 0.227 0.211 Cs
0.773 0.773 0.789 Cs
0.000 0.000 0.500 Ho
0.446 0.446 0.806 Si
0.554 0.554 0.194 Si
0.236 0.725 0.234 S
0.254 0.254 0.703 S
0.275 0.764 0.766 S
0.725 0.236 0.234 S
0.746 0.746 0.297 S
0.764 0.275 0.766 S
```

## Properties
Uncorrected formation energy, eV/atom: -1.070
Space group: No. 12


Record 10
A plane-wave DFT calculation with PBE-GGA was carried out for a relaxed structure of Cs2HoSnS4.

The structure in POSCAR format:
```
Cs2HoSnS4
1.0
0.000 7.542 12.674
3.388 0.000 12.674
3.388 7.542 0.000
Cs Ho Sn S
4 2 2 8
Direct
0.056 0.056 0.694 Cs
0.306 0.306 0.944 Cs
0.694 0.694 0.056 Cs
0.944 0.944 0.306 Cs
0.125 0.125 0.125 Ho
0.875 0.875 0.875 Ho
0.375 0.375 0.375 Sn
0.625 0.625 0.625 Sn
0.024 0.328 0.418 S
0.271 0.582 0.672 S
0.328 0.024 0.729 S
0.418 0.729 0.024 S
0.582 0.271 0.976 S
0.672 0.976 0.271 S
0.729 0.418 0.328 S
0.976 0.672 0.582 S
```

## Properties
Uncorrected formation energy, eV/atom: -1.126
Space group: No. 70


Record 11
A plane-wave DFT calculation with PBE-GGA was carried out for a relaxed structure of Cs2Ho2SnS6.

The structure in POSCAR format:
```
Cs2Ho2SnS6
1.0
3.433 -5.918 0.000
3.433 5.918 0.000
-2.376 0.000 8.295
Cs Ho Sn S
2 2 1 6
Direct
0.170 0.830 0.000 Cs
0.830 0.170 0.000 Cs
0.333 0.667 0.500 Ho
0.667 0.333 0.500 Ho
0.000 0.000 0.500 Sn
0.062 0.381 0.677 S
0.256 0.256 0.326 S
0.381 0.062 0.677 S
0.619 0.938 0.323 S
0.744 0.744 0.674 S
0.938 0.619 0.323 S
```

## Properties
Uncorrected formation energy, eV/atom: -1.447
Space group: No. 12


Record 12
A plane-wave DFT calculation with PBE-GGA was carried out for a relaxed structure of Cs3SrHo2S6.

The structure in POSCAR format:
```
Cs3SrHo2S6
1.0
3.645 -6.317 0.000
3.645 6.317 0.000
-2.437 0.000 8.038
Cs Sr Ho S
3 1 2 6
Direct
0.000 0.000 0.000 Cs
0.338 0.662 0.000 Cs
0.662 0.338 0.000 Cs
0.500 0.500 0.500 Sr
0.167 0.833 0.500 Ho
0.833 0.167 0.500 Ho
0.080 0.438 0.315 S
0.203 0.203 0.682 S
0.438 0.080 0.315 S
0.562 0.920 0.685 S
0.797 0.797 0.318 S
0.920 0.562 0.685 S
```

## Properties
Uncorrected formation energy, eV/atom: -1.645
Space group: No. 12


Record 13
A plane-wave DFT calculation with PBE-GGA was carried out for a relaxed structure of Cs3Ho3TaS8.

The structure in POSCAR format:
```
Cs3Ho3TaS8
1.0
3.937 2.273 8.224
-3.937 2.273 8.224
0.000 -4.546 8.224
Cs Ho Ta S
3 3 1 8
Direct
0.000 0.500 0.500 Cs
0.500 0.000 0.500 Cs
0.500 0.500 0.000 Cs
0.000 0.000 0.500 Ho
0.000 0.500 0.000 Ho
0.500 0.000 0.000 Ho
0.500 0.500 0.500 Ta
0.227 0.227 0.227 S
0.248 0.712 0.712 S
0.288 0.288 0.752 S
0.288 0.752 0.288 S
0.712 0.248 0.712 S
0.712 0.712 0.248 S
0.752 0.288 0.288 S
0.773 0.773 0.773 S
```

## Properties
Uncorrected formation energy, eV/atom: -1.636
Space group: No. 166


Record 14
A plane-wave DFT calculation with PBE-GGA was carried out for a relaxed structure of Cs3Tb2HoS6.

The structure in POSCAR format:
```
Cs3Tb2HoS6
1.0
3.562 -6.169 0.000
3.562 6.169 0.000
-2.375 0.000 8.068
Cs Tb Ho S
3 2 1 6
Direct
0.000 0.000 0.000 Cs
0.333 0.667 0.000 Cs
0.667 0.333 0.000 Cs
0.167 0.833 0.500 Tb
0.833 0.167 0.500 Tb
0.500 0.500 0.500 Ho
0.108 0.439 0.318 S
0.230 0.230 0.682 S
0.439 0.108 0.318 S
0.561 0.892 0.682 S
0.770 0.770 0.318 S
0.892 0.561 0.682 S
```

## Properties
Uncorrected formation energy, eV/atom: -1.833
Space group: No. 12


Record 15
A plane-wave DFT calculation with PBE-GGA was carried out for a relaxed structure of CsHoTeS.

The structure in POSCAR format:
```
CsHoTeS
1.0
2.137 1.234 8.647
-2.137 1.234 8.647
0.000 -2.467 8.647
Cs Ho Te S
1 1 1 1
Direct
0.000 0.000 0.000 Cs
0.156 0.156 0.156 Ho
0.560 0.560 0.560 Te
0.771 0.771 0.771 S
```

## Properties
Uncorrected formation energy, eV/atom: -1.550
Space group: No. 160


Record 16
A plane-wave DFT calculation with PBE-GGA was carried out for a relaxed structure of Cs2HoTe2S6.

The structure in POSCAR format:
```
Cs2HoTe2S6
1.0
5.701 -3.783 0.000
5.701 3.783 0.000
-3.034 0.000 8.661
Cs Ho Te S
2 1 2 6
Direct
0.197 0.197 0.121 Cs
0.803 0.803 0.879 Cs
0.000 0.000 0.500 Ho
0.413 0.413 0.742 Te
0.587 0.587 0.258 Te
0.189 0.746 0.252 S
0.245 0.245 0.511 S
0.254 0.811 0.748 S
0.746 0.189 0.252 S
0.755 0.755 0.489 S
0.811 0.254 0.748 S
```

## Properties
Uncorrected formation energy, eV/atom: -0.740
Space group: No. 12


Record 17
A plane-wave DFT calculation with PBE-GGA was carried out for a relaxed structure of Cs4HoTh3S8.

The structure in POSCAR format:
```
Cs4HoTh3S8
1.0
4.143 2.392 8.152
-4.143 2.392 8.152
0.000 -4.784 8.152
Cs Ho Th S
4 1 3 8
Direct
0.000 0.000 0.000 Cs
0.000 0.500 0.500 Cs
0.500 0.000 0.500 Cs
0.500 0.500 0.000 Cs
0.500 0.500 0.500 Ho
0.000 0.000 0.500 Th
0.000 0.500 0.000 Th
0.500 0.000 0.000 Th
0.231 0.231 0.231 S
0.235 0.726 0.726 S
0.274 0.274 0.765 S
0.274 0.765 0.274 S
0.726 0.235 0.726 S
0.726 0.726 0.235 S
0.765 0.274 0.274 S
0.769 0.769 0.769 S
```

## Properties
Uncorrected formation energy, eV/atom: -1.686
Space group: No. 166


Record 18
A plane-wave DFT calculation with PBE-GGA was carried out for a relaxed structure of Cs4Ho3ThS8.

The structure in POSCAR format:
```
Cs4Ho3ThS8
1.0
4.108 2.372 8.087
-4.108 2.372 8.087
0.000 -4.744 8.087
Cs Ho Th S
4 3 1 8
Direct
0.000 0.000 0.000 Cs
0.000 0.500 0.500 Cs
0.500 0.000 0.500 Cs
0.500 0.500 0.000 Cs
0.000 0.000 0.500 Ho
0.000 0.500 0.000 Ho
0.500 0.000 0.000 Ho
0.500 0.500 0.500 Th
0.224 0.729 0.729 S
0.227 0.227 0.227 S
0.271 0.271 0.776 S
0.271 0.776 0.271 S
0.729 0.224 0.729 S
0.729 0.729 0.224 S
0.773 0.773 0.773 S
0.776 0.271 0.271 S
```

## Properties
Uncorrected formation energy, eV/atom: -1.785
Space group: No. 166


Record 19
A plane-wave DFT calculation with PBE-GGA was carried out for a relaxed structure of Cs2HoThS4.

The structure in POSCAR format:
```
Cs2HoThS4
1.0
7.144 0.000 0.000
0.000 4.135 0.000
-2.374 0.000 8.110
Cs Ho Th S
2 1 1 4
Direct
0.000 0.000 0.000 Cs
0.500 0.500 0.000 Cs
0.000 0.500 0.500 Ho
0.500 0.000 0.500 Th
0.224 0.000 0.682 S
0.265 0.500 0.313 S
0.735 0.500 0.687 S
0.776 0.000 0.318 S
```

## Properties
Uncorrected formation energy, eV/atom: -1.733
Space group: No. 10


Record 20
A plane-wave DFT calculation with PBE-GGA was carried out for a relaxed structure of Cs4Ho3TiS8.

The structure in POSCAR format:
```
Cs4Ho3TiS8
1.0
4.008 2.314 8.021
-4.008 2.314 8.021
0.000 -4.628 8.021
Cs Ho Ti S
4 3 1 8
Direct
0.000 0.000 0.000 Cs
0.000 0.500 0.500 Cs
0.500 0.000 0.500 Cs
0.500 0.500 0.000 Cs
0.000 0.000 0.500 Ho
0.000 0.500 0.000 Ho
0.500 0.000 0.000 Ho
0.500 0.500 0.500 Ti
0.228 0.228 0.228 S
0.243 0.717 0.717 S
0.283 0.283 0.757 S
0.283 0.757 0.283 S
0.717 0.243 0.717 S
0.717 0.717 0.243 S
0.757 0.283 0.283 S
0.772 0.772 0.772 S
```

## Properties
Uncorrected formation energy, eV/atom: -1.654
Space group: No. 166